{
  "formula": "NiBNO2",
  "functional": "GGA+U",
  "state": "optimized geometry",
  "lattice_angstrom": [[3.794, 0.000, 0.000], [0.000, 3.794, 0.000], [0.000, 0.000, 3.645]],
  "species": ["Ni", "B", "N", "O", "O"],
  "fractional_positions": [[0.000, 0.000, 0.000], [0.500, 0.500, 0.500], [0.000, 0.000, 0.500], [0.000, 0.500, 0.000], [0.500, 0.000, 0.000]],
  "total_energy_ev_per_atom": -3.944,
  "total_magnetization_mub_per_atom": 0.727,
  "n_ef_per_ev_cell": 2.8,
  "sg": "P4/mmm",
  "volume_a3_per_cell": 52.5
}